# 1
Density functional theory data (GGA-PBEsol) for crystalline MgTiNb3 at its relaxed geometry.

Values from the calculation:
E_form   1.091 eV/atom
DOS(E_F)   6.0 states/eV/cell
Space group   Pm-3m
Total magnetization   0.0 μB per formula unit
Electronic total energy   -7.4102 eV per atom

a = 4.686 Å, b = 4.686 Å, c = 4.686 Å
α = 90.00°, β = 90.00°, γ = 90.00°
Element x y z (fractional)
Mg 0.000 0.000 0.000
Ti 0.500 0.500 0.500
Nb 0.000 0.500 0.500
Nb 0.500 0.000 0.500
Nb 0.500 0.500 0.000

---

# 2
Density functional theory data (GGA-PBEsol) for crystalline Zr2TlAu at its relaxed geometry.

Values from the calculation:
E_form   -0.214 eV/atom
DOS(E_F)   3.2 states/eV/cell
Space group   P4mm
Total magnetization   0.0 μB per formula unit
Electronic total energy   -6.3976 eV per atom

a = 3.631 Å, b = 3.631 Å, c = 6.341 Å
α = 90.00°, β = 90.00°, γ = 90.00°
Element x y z (fractional)
Zr 0.000 0.000 0.000
Zr 0.500 0.500 0.275
Tl 0.500 0.500 0.752
Au 0.000 0.000 0.493